(1)
! ZrB GGA-PBE relaxed; values from VASP
! Crystal system: hexagonal
&SYSTEM
  ibrav = 0, nat = 2, ntyp = 2
/
ATOMIC_SPECIES
B 10.81 B.upf
Zr 91.22 Zr.upf
CELL_PARAMETERS angstrom
-3.182 -0.028 -1.359
1.002 -2.552 2.110
-1.002 1.519 2.314
ATOMIC_POSITIONS crystal
B 0.667 0.333 0.750
Zr 0.333 0.667 0.250

(2)
! KNdGeSe3 GGA-PBE relaxed; values from VASP
! Crystal system: orthorhombic
&SYSTEM
  ibrav = 0, nat = 12, ntyp = 4
/
ATOMIC_SPECIES
Ge 72.64 Ge.upf
K 39.10 K.upf
Nd 144.24 Nd.upf
Se 78.96 Se.upf
CELL_PARAMETERS angstrom
-4.330 6.306 0.188
3.296 -5.534 4.132
9.421 6.437 1.106
ATOMIC_POSITIONS crystal
Ge 0.533 0.467 0.250
Ge 0.467 0.533 0.750
K 0.253 0.747 0.250
K 0.747 0.253 0.750
Nd 0.000 0.000 0.000
Nd 0.000 0.000 0.500
Se 0.631 0.369 0.055
Se 0.930 0.070 0.250
Se 0.631 0.369 0.445
Se 0.369 0.631 0.555
Se 0.070 0.930 0.750
Se 0.369 0.631 0.945

(3)
! K2Ho2O5 GGA-PBE relaxed; values from VASP
! Crystal system: tetragonal
! Distance to the lowest polymorph of the same formula in eV per formula unit: 0.00
&SYSTEM
  ibrav = 0, nat = 9, ntyp = 3
/
ATOMIC_SPECIES
Ho 164.93 Ho.upf
K 39.10 K.upf
O 16.00 O.upf
CELL_PARAMETERS angstrom
-7.218 1.177 5.372
2.503 -0.266 3.422
0.601 4.204 -0.113
ATOMIC_POSITIONS crystal
Ho 0.268 0.500 0.500
Ho 0.732 0.500 0.500
K 0.000 0.000 0.000
K 0.500 0.000 0.000
O 0.206 0.500 0.000
O 0.794 0.500 0.000
O 0.206 0.000 0.500
O 0.794 0.000 0.500
O 0.500 0.500 0.500

(4)
! Sm2AsPPd2 GGA-PBE relaxed; values from VASP
! Crystal system: trigonal
&SYSTEM
  ibrav = 0, nat = 6, ntyp = 4
/
ATOMIC_SPECIES
As 74.92 As.upf
P 30.97 P.upf
Pd 106.42 Pd.upf
Sm 150.36 Sm.upf
CELL_PARAMETERS angstrom
-1.796 -3.720 1.158
4.000 0.061 -1.549
2.768 0.900 7.184
ATOMIC_POSITIONS crystal
As 0.000 0.000 0.264
P 0.667 0.333 0.760
Pd 0.667 0.333 0.236
Pd 0.000 0.000 0.741
Sm 0.333 0.667 0.503
Sm 0.333 0.667 0.994

Number 1: mass density 5.55 g/cm³, total energy -7.4090 eV/atom. Number 2: mass density 4.33 g/cm³, total energy -4.5996 eV/atom. Number 3: mass density 4.95 g/cm³, total energy -6.2584 eV/atom. Number 4: mass density 8.33 g/cm³, total energy -6.1830 eV/atom.